1.
Entry from OQMD via LeMat-Bulk: KDyGaTe3 after structural relaxation (PBE).

Cell lengths 8.0044, 8.0044, 11.6495 Å; angles 90.00, 90.00, 145.05 degrees
With the nearest neighbours (Å) after each atom.
Sites, in units of the cell vectors:
K 0.2465 0.7535 0.7500  8 Te 3.68-4.10
K 0.7535 0.2465 0.2500  8 Te 3.68-4.10
Dy 0.0000 0.0000 0.0000  6 Te 3.11-3.17
Dy 0.0000 0.0000 0.5000  6 Te 3.11-3.17
Ga 0.4826 0.5174 0.2500  4 Te 2.76-2.77
Ga 0.5174 0.4826 0.7500  4 Te 2.76-2.77
Te 0.0710 0.9290 0.2500  2 Ga 2.76
Te 0.3729 0.6271 0.0609  1 Ga 2.77
Te 0.3729 0.6271 0.4391  1 Ga 2.77
Te 0.6271 0.3729 0.5609  1 Ga 2.77
Te 0.6271 0.3729 0.9391  1 Ga 2.77
Te 0.9290 0.0710 0.7500  2 Ga 2.76

Results
VASP energy	-3.96	eV/atom
spin magnetization	0.00	μB/atom
crystal system	orthorhombic

=====

2.
Entry from OQMD via LeMat-Bulk: LaDyGa4 after structural relaxation (PBE).

Cell lengths 9.6588, 9.6588, 6.6915 Å; angles 90.00, 90.00, 154.62 degrees
With the nearest neighbours (Å) after each atom.
Sites, in units of the cell vectors:
La 0.0916 0.9084 0.7500  11 Ga 3.11-3.36
La 0.9084 0.0916 0.2500  11 Ga 3.11-3.36
Dy 0.2349 0.7651 0.2500  7 Ga 3.00-3.04
Dy 0.7651 0.2349 0.7500  7 Ga 3.00-3.04
Ga 0.0735 0.9265 0.2500  8 Ga 2.86-3.04, 1 Dy 3.04, 1 La 3.11
Ga 0.3527 0.6473 0.5524  4 Ga 2.64-2.86
Ga 0.3527 0.6473 0.9476  4 Ga 2.64-2.86
Ga 0.5000 0.5000 0.0000  6 Ga 2.80-3.04
Ga 0.5000 0.5000 0.5000  6 Ga 2.80-3.04
Ga 0.6473 0.3527 0.0524  4 Ga 2.64-2.86
Ga 0.6473 0.3527 0.4476  4 Ga 2.64-2.86
Ga 0.9265 0.0735 0.7500  8 Ga 2.86-3.04, 1 Dy 3.04, 1 La 3.11

Results
VASP energy	-4.17	eV/atom
spin magnetization	0.00	μB/atom
crystal system	orthorhombic

=====

3.
Entry from OQMD via LeMat-Bulk: LaDyGa5 after structural relaxation (PBE).

Cell lengths 4.4595, 4.4595, 8.2643 Å; angles 90.00, 90.00, 90.00 degrees
With the nearest neighbours (Å) after each atom.
Sites, in units of the cell vectors:
La 0.0000 0.0000 0.0000  12 Ga 3.13-3.15
Dy 0.0000 0.0000 0.5000  8 Ga 2.96
Ga 0.0000 0.5000 0.2651  2 Dy 2.96, 2 La 3.13, 6 Ga 3.13-3.15
Ga 0.0000 0.5000 0.7349  2 Dy 2.96, 2 La 3.13, 6 Ga 3.13-3.15
Ga 0.5000 0.0000 0.2651  2 Dy 2.96, 2 La 3.13, 6 Ga 3.13-3.15
Ga 0.5000 0.0000 0.7349  2 Dy 2.96, 2 La 3.13, 6 Ga 3.13-3.15
Ga 0.5000 0.5000 0.0000  8 Ga 3.13, 4 La 3.15

Results
VASP energy	-3.89	eV/atom
spin magnetization	0.00	μB/atom
crystal system	tetragonal